# TiTlO

A relaxed structure of TiTlO (GGA-PBE, the Alexandria database).

POSCAR file:
```
TiTlO
1.0
3.317 0.914 -0.211
0.898 3.322 -0.211
-2.318 -2.330 10.729
O Ti Tl
2 2 2
Cartesian
3.542 3.559 0.718
-1.645 -1.653 9.589
1.177 1.183 9.323
0.720 0.723 0.984
-0.403 -0.405 6.699
2.300 2.311 3.608
```

Values from the calculation:
E_form (uncorrected)	-1453.6	meV/atom
E	-19.6	eV/f.u.
mass density	8.32	g/cm³
space-group type	C2/m